First-principles (PBE-GGA) data for an optimized crystal structure of Ba2NaLiF6, as listed in Alexandria.

```
data_Ba2NaLiF6
_chemical_formula_sum 'Ba2 Na1 Li1 F6'
_cell_length_a 5.871
_cell_length_b 5.871
_cell_length_c 5.871
_cell_angle_alpha 60.00
_cell_angle_beta 60.00
_cell_angle_gamma 60.00
_symmetry_space_group_name_H-M 'P 1'
_symmetry_Int_Tables_number 1
_symmetry_space_group_name_Hall 'P 1'
loop_
_atom_site_label
_atom_site_type_symbol
_atom_site_fract_x
_atom_site_fract_y
_atom_site_fract_z
_atom_site_occupancy
Ba1 Ba 0.250 0.250 0.250 1
Ba2 Ba 0.750 0.750 0.750 1
Na1 Na 0.000 0.000 0.000 1
Li1 Li 0.500 0.500 0.500 1
F1 F 0.260 0.260 0.740 1
F2 F 0.260 0.740 0.260 1
F3 F 0.260 0.740 0.740 1
F4 F 0.740 0.260 0.260 1
F5 F 0.740 0.260 0.740 1
F6 F 0.740 0.740 0.260 1
```

Its space group is Fm-3m, No. 225. The calculation puts the formation energy from raw total energies at -3270 kJ/mol of formula units. The total magnetization comes out at 0.000 μB per formula unit.

---

First-principles (PBE-GGA) data for an optimized crystal structure of Ba2NaLiF, as listed in Alexandria.

```
data_Ba2NaLiF
_chemical_formula_sum 'Ba2 Na1 Li1 F1'
_cell_length_a 7.113
_cell_length_b 7.113
_cell_length_c 4.158
_cell_angle_alpha 90.00
_cell_angle_beta 90.00
_cell_angle_gamma 90.00
_symmetry_space_group_name_H-M 'P 1'
_symmetry_Int_Tables_number 1
_symmetry_space_group_name_Hall 'P 1'
loop_
_atom_site_label
_atom_site_type_symbol
_atom_site_fract_x
_atom_site_fract_y
_atom_site_fract_z
_atom_site_occupancy
Ba1 Ba 0.000 0.500 0.000 1
Ba2 Ba 0.500 0.000 0.000 1
Na1 Na 0.000 0.000 0.000 1
Li1 Li 0.500 0.500 0.500 1
F1 F 0.000 0.000 0.500 1
```

Its space group is P4/mmm, No. 123. The calculation puts the formation energy from raw total energies at -284 kJ/mol of formula units. The total magnetization comes out at 0.000 μB per formula unit.

---

Q: What is the formula in the second record?
A: Ba2NaLiF